A plane-wave DFT calculation with GGA-PBEsol was carried out for a relaxed Na2YTaFe crystal.

a = 4.318 Å, b = 5.413 Å, c = 5.413 Å
α = 90.00°, β = 90.00°, γ = 90.00°
Fractional positions:
Y (0.500, 0.500, 0.500)
Na (0.000, 0.000, 0.500)
Na (0.000, 0.500, 0.000)
Fe (0.500, 0.000, 0.000)
Ta (0.000, 0.000, 0.000)

SG = No. 123
Total DFT energy (no corrections) = -4.886 eV/atom

=====

A plane-wave DFT calculation with GGA-PBEsol was carried out for a relaxed HfSnO3 crystal.

a = 5.379 Å, b = 5.379 Å, c = 7.476 Å
α = 68.92°, β = 68.92°, γ = 60.00°
Fractional positions:
Hf (0.667, 0.667, 0.998)
Hf (0.333, 0.333, 0.002)
Sn (0.893, 0.893, 0.322)
Sn (0.107, 0.107, 0.678)
O (0.945, 0.600, 0.161)
O (0.600, 0.294, 0.161)
O (0.706, 0.055, 0.839)
O (0.294, 0.945, 0.161)
O (0.400, 0.706, 0.839)
O (0.055, 0.400, 0.839)

SG = No. 148
Total DFT energy (no corrections) = -8.678 eV/atom
Formation energy from raw total energies = -249 kJ/mol of atoms

=====

A plane-wave DFT calculation with GGA-PBEsol was carried out for a relaxed HfCu2TcGe crystal.

a = 4.258 Å, b = 4.258 Å, c = 4.637 Å
α = 90.00°, β = 90.00°, γ = 90.00°
Fractional positions:
Ge (0.000, 0.000, 0.000)
Hf (0.500, 0.500, 0.500)
Tc (0.000, 0.000, 0.500)
Cu (0.000, 0.500, 0.000)
Cu (0.500, 0.000, 0.000)

SG = No. 123
Total DFT energy (no corrections) = -6.478 eV/atom

=====

In Å³/cell, the volume values for the records above are, in order, 126.5, 170.4, 84.1.
In states/eV per cell, the Fermi-level density of states values for the records above are, in order, 5.7, 0.0, 3.7.